1.
# InH9N3Cl3 SCAN single point on PBEsol structure
data_InH9N3Cl3
_chemical_formula_sum 'In2 H18 N6 Cl6'
_cell_length_a 5.9062
_cell_length_b 6.6639
_cell_length_c 9.7562
_cell_angle_alpha 86.86
_cell_angle_beta 88.06
_cell_angle_gamma 84.67
_space_group_name_H-M_alt 'P 1'
_space_group_IT_number 1
_space_group_name_Hall 'P 1'
loop_
_atom_site_label
_atom_site_type_symbol
_atom_site_fract_x
_atom_site_fract_y
_atom_site_fract_z
_atom_site_occupancy
H1 H 0.8200 0.9022 0.9366 1
H2 H 0.0687 0.5457 0.7158 1
H3 H 0.7688 0.6612 0.2323 1
H4 H 0.3030 0.6529 0.4396 1
H5 H 0.2501 0.2452 0.1846 1
N1 N 0.7681 0.7619 0.9202 1
N2 N 0.7395 0.1960 0.5863 1
H6 H 0.2613 0.8161 0.3073 1
In1 In 0.5000 0.0000 0.5000 1
Cl1 Cl 0.7233 0.2662 0.9179 1
N3 N 0.1790 0.4864 0.7907 1
H7 H 0.2312 0.3388 0.7677 1
Cl2 Cl 0.2470 0.3134 0.4167 1
N4 N 0.8210 0.5137 0.2093 1
H8 H 0.7387 0.1839 0.6927 1
H9 H 0.6970 0.3471 0.5604 1
H10 H 0.3931 0.2420 0.0345 1
In2 In 0.0000 0.5000 0.0000 1
H11 H 0.1800 0.0978 0.0634 1
Cl3 Cl 0.2767 0.7338 0.0821 1
H12 H 0.0947 0.8354 0.4483 1
H13 H 0.9053 0.1646 0.5517 1
H14 H 0.9313 0.4543 0.2842 1
Cl4 Cl 0.2734 0.9957 0.7223 1
H15 H 0.3169 0.5701 0.7842 1
Cl5 Cl 0.7266 0.0043 0.2777 1
N5 N 0.2319 0.2381 0.0798 1
H16 H 0.7499 0.7548 0.8154 1
N6 N 0.2605 0.8040 0.4137 1
H17 H 0.6069 0.7580 0.9655 1
H18 H 0.6831 0.4299 0.2158 1
Cl6 Cl 0.7530 0.6866 0.5833 1
# DFT total energy in eV/atom: -7.98
# D(E_F) in states/eV/f.u.: 0.00
# Symmetry: P-1, No. 2

***

2.
# InHOsCl2 SCAN single point on PBEsol structure
data_InHOsCl2
_chemical_formula_sum 'In1 H1 Os1 Cl2'
_cell_length_a 3.4140
_cell_length_b 5.2244
_cell_length_c 5.2244
_cell_angle_alpha 90.00
_cell_angle_beta 90.00
_cell_angle_gamma 90.00
_space_group_name_H-M_alt 'P 1'
_space_group_IT_number 1
_space_group_name_Hall 'P 1'
loop_
_atom_site_label
_atom_site_type_symbol
_atom_site_fract_x
_atom_site_fract_y
_atom_site_fract_z
_atom_site_occupancy
Cl1 Cl 0.0000 0.0000 0.5000 1
Os1 Os 0.5000 0.5000 0.5000 1
In1 In 0.0000 0.0000 0.0000 1
H1 H 0.5000 0.0000 0.0000 1
Cl2 Cl 0.0000 0.5000 0.0000 1
# DFT total energy in eV/atom: -24.06
# D(E_F) in states/eV/f.u.: 1.81
# Symmetry: P4/mmm, No. 123

***

3.
# InHRh2Cl SCAN single point on PBEsol structure
data_InHRh2Cl
_chemical_formula_sum 'In1 H1 Rh2 Cl1'
_cell_length_a 3.3885
_cell_length_b 4.9984
_cell_length_c 4.9984
_cell_angle_alpha 90.00
_cell_angle_beta 90.00
_cell_angle_gamma 90.00
_space_group_name_H-M_alt 'P 1'
_space_group_IT_number 1
_space_group_name_Hall 'P 1'
loop_
_atom_site_label
_atom_site_type_symbol
_atom_site_fract_x
_atom_site_fract_y
_atom_site_fract_z
_atom_site_occupancy
Rh1 Rh 0.0000 0.0000 0.5000 1
In1 In 0.0000 0.0000 0.0000 1
Rh2 Rh 0.0000 0.5000 0.0000 1
H1 H 0.5000 0.0000 0.0000 1
Cl1 Cl 0.5000 0.5000 0.5000 1
# DFT total energy in eV/atom: -21.56
# D(E_F) in states/eV/f.u.: 2.73
# Symmetry: P4/mmm, No. 123

***

4.
# H2IrCl2 SCAN single point on PBEsol structure
data_H2IrCl2
_chemical_formula_sum 'H2 Ir1 Cl2'
_cell_length_a 4.3176
_cell_length_b 4.3176
_cell_length_c 4.3176
_cell_angle_alpha 90.40
_cell_angle_beta 119.77
_cell_angle_gamma 119.77
_space_group_name_H-M_alt 'P 1'
_space_group_IT_number 1
_space_group_name_Hall 'P 1'
loop_
_atom_site_label
_atom_site_type_symbol
_atom_site_fract_x
_atom_site_fract_y
_atom_site_fract_z
_atom_site_occupancy
Cl1 Cl 0.5000 0.7500 0.2500 1
Ir1 Ir 0.0000 0.0000 0.0000 1
H1 H 0.0000 0.4377 0.4377 1
Cl2 Cl 0.5000 0.2500 0.7500 1
H2 H 0.0000 0.5623 0.5623 1
# DFT total energy in eV/atom: -18.30
# Symmetry: I4/mmm, No. 139

***

no.,magnetic moment (μB/f.u.)
1,0.0
2,3.4
3,2.0
4,3.0